An optimized crystal structure of Li4FeSi2O7. Source: the Alexandria database, functional GGA+U.

Output
Crystal system: monoclinic
Energy relative to the lowest polymorph listed for this composition, eV per formula unit: 0.12

Unit cell a=5.319 b=5.319 c=6.859 alpha=99.59 beta=99.59 gamma=50.72
Positions (direct):
Li (0.149, 0.149, 0.437)
Li (0.299, 0.276, 0.853)
Li (0.724, 0.701, 0.147)
Li (0.851, 0.851, 0.563)
Fe (0.017, 0.983, 0.000)
Si (0.451, 0.397, 0.291)
Si (0.603, 0.549, 0.709)
O (0.157, 0.578, 0.114)
O (0.335, 0.665, 0.500)
O (0.422, 0.843, 0.886)
O (0.518, 0.073, 0.344)
O (0.679, 0.219, 0.771)
O (0.781, 0.321, 0.229)
O (0.927, 0.482, 0.656)